## Mg5InAg2Sn2 (PBE)

Data for a relaxed structure of Mg5InAg2Sn2.

Computed properties:
ΔE_f   -0.065 eV/atom
Total DFT energy (no corrections)   -2.5068 eV/atom
N(E_F)   3.83 states/eV/f.u.
Space-group type   No. 127

POSCAR file:
```
Mg5InAg2Sn2
1.0
3.5633 0.0000 0.0000
0.0000 11.3365 0.0000
0.0000 0.0000 11.3365
Sn Ag Mg In
4 4 10 2
Direct
0.0000 0.6825 0.1825
0.0000 0.1825 0.3175
0.0000 0.8175 0.6825
0.0000 0.3175 0.8175
0.0000 0.3667 0.1333
0.0000 0.6333 0.8667
0.0000 0.8667 0.3667
0.0000 0.1333 0.6333
0.5000 0.9707 0.2137
0.5000 0.5000 0.0000
0.5000 0.5293 0.7137
0.5000 0.7137 0.4707
0.5000 0.0000 0.5000
0.5000 0.4707 0.2863
0.5000 0.2137 0.0293
0.5000 0.0293 0.7863
0.5000 0.2863 0.5293
0.5000 0.7863 0.9707
0.0000 0.5000 0.5000
0.0000 0.0000 0.0000
```


## Li5LaHg4 (PBE)

Data for a relaxed structure of Li5LaHg4.

Computed properties:
ΔE_f   -0.280 eV/atom
Total DFT energy (no corrections)   -1.8500 eV/atom
N(E_F)   4.87 states/eV/f.u.
Space-group type   No. 123

POSCAR file:
```
Li5LaHg4
1.0
-1.1557 -2.3241 2.2438
-1.9334 -1.4115 -2.4579
13.0636 -10.5615 -4.2109
Hg Li La
4 5 1
Direct
0.0000 0.0000 0.5938
0.0000 0.0000 0.2194
0.0000 0.0000 0.7806
0.0000 0.0000 0.4062
0.5000 0.5000 0.6834
0.5000 0.5000 0.5000
0.5000 0.5000 0.1429
0.5000 0.5000 0.3166
0.5000 0.5000 0.8571
0.0000 0.0000 0.0000
```


## FeMo (PBE)

Data for a relaxed structure of FeMo.

Computed properties:
ΔE_f   0.304 eV/atom
Total DFT energy (no corrections)   -9.3429 eV/atom
N(E_F)   2.73 states/eV/f.u.
Space-group type   No. 198

POSCAR file:
```
FeMo
1.0
-1.3166 -3.7492 -2.6315
4.1495 -2.1357 0.9667
-1.9397 -2.0241 3.8542
Fe Mo
4 4
Direct
0.6071 0.8929 0.1071
0.1071 0.6071 0.8929
0.3929 0.3929 0.3929
0.8929 0.1071 0.6071
0.9016 0.5984 0.4016
0.0984 0.0984 0.0984
0.5984 0.4016 0.9016
0.4016 0.9016 0.5984
```